Entry 1:
Compound: Al2PIr
Source: Alexandria via LeMat-Bulk
Functional: PBE
Structure: optimized geometry

Cell and atoms, written as POSCAR:
```
Al2PIr
1.0
3.227 0.000 0.000
0.000 3.572 0.000
0.000 0.000 5.255
Al P Ir
2 1 1
Direct
0.000 0.000 0.000 Al
0.500 0.500 0.320 Al
0.500 0.500 0.835 P
0.000 0.000 0.479 Ir
```

Computed properties:
energy relative to the elements = -271 meV per atom
space group = Pmm2, No. 25

***

Entry 2:
Compound: Al2PIr
Source: Alexandria via LeMat-Bulk
Functional: PBE
Structure: optimized geometry

Cell and atoms, written as POSCAR:
```
Al2PIr
1.0
3.439 0.000 0.000
0.000 2.995 0.000
-0.387 0.000 5.567
Al P Ir
2 1 1
Direct
0.014 0.000 0.248 Al
0.986 0.000 0.752 Al
0.500 0.500 0.500 P
0.500 0.500 0.000 Ir
```

Computed properties:
energy relative to the elements = -349 meV per atom
space group = P2/m, No. 10

***

The highest energy relative to the elements belongs to which entry?
number 1